(A)
VASP calculation (PBE) on a geometry-optimized ReIrPt2 structure.

Output
total magnetic moment: 0.00 μB per formula unit
SG: Pmmm, No. 47
density of states at the Fermi level: 4.2 states/eV/f.u.

a = 2.7664 Å, b = 3.9720 Å, c = 5.4912 Å
α = 90.00°, β = 90.00°, γ = 90.00°
Sites, in units of the cell vectors:
Re1 0.5000 0.5000 0.2500
Pt1 0.0000 0.0000 0.0063
Pt2 0.0000 0.0000 0.4937
Ir1 0.5000 0.5000 0.7500

=====

(B)
VASP calculation (PBE) on a geometry-optimized ReIrPt2 structure.

Output
total magnetic moment: 0.00 μB per formula unit
SG: C2/m, No. 12
density of states at the Fermi level: 4.8 states/eV/f.u.

a = 4.8027 Å, b = 4.8027 Å, c = 4.8009 Å
α = 80.43°, β = 80.43°, γ = 33.58°
Sites, in units of the cell vectors:
Re1 0.7500 0.7500 0.7500
Pt1 0.4984 0.4984 0.5053
Ir1 0.2500 0.2500 0.2500
Pt2 0.0016 0.0016 0.9947

=====

Calculated relative energies: (A) 25; (B) 0, given in meV per atom

=====

(A)
VASP calculation (PBE) on a geometry-optimized ReIrPt2 structure.

Output
total magnetic moment: 0.00 μB per formula unit
SG: Fm-3m, No. 225
density of states at the Fermi level: 5.3 states/eV/f.u.

a = 4.4352 Å, b = 4.4352 Å, c = 4.4352 Å
α = 60.00°, β = 60.00°, γ = 60.00°
Sites, in units of the cell vectors:
Pt1 0.2500 0.2500 0.2500
Re1 0.0000 0.0000 0.0000
Pt2 0.7500 0.7500 0.7500
Ir1 0.5000 0.5000 0.5000

=====

(B)
VASP calculation (PBE) on a geometry-optimized ReIrPt2 structure.

Output
total magnetic moment: 0.00 μB per formula unit
SG: I4/mmm, No. 139
density of states at the Fermi level: 4.3 states/eV/f.u.

a = 4.8554 Å, b = 4.8554 Å, c = 4.8554 Å
α = 132.90°, β = 132.90°, γ = 68.81°
Sites, in units of the cell vectors:
Re1 0.7500 0.2500 0.5000
Pt1 0.0000 0.0000 0.0000
Ir1 0.2500 0.7500 0.5000
Pt2 0.5000 0.5000 0.0000

=====

(C)
VASP calculation (PBE) on a geometry-optimized ReIrPt2 structure.

Output
total magnetic moment: 0.00 μB per formula unit
SG: F-43m, No. 216
density of states at the Fermi level: 6.9 states/eV/f.u.

a = 4.4404 Å, b = 4.4404 Å, c = 4.4404 Å
α = 60.00°, β = 60.00°, γ = 60.00°
Sites, in units of the cell vectors:
Pt1 0.0000 0.0000 0.0000
Pt2 0.2500 0.2500 0.2500
Re1 0.7500 0.7500 0.7500
Ir1 0.5000 0.5000 0.5000

=====

(D)
VASP calculation (PBE) on a geometry-optimized ReIrPt2 structure.

Output
total magnetic moment: 0.00 μB per formula unit
SG: P4mm, No. 99
density of states at the Fermi level: 2.8 states/eV/f.u.

a = 2.7565 Å, b = 2.7565 Å, c = 7.9750 Å
α = 90.00°, β = 90.00°, γ = 90.00°
Sites, in units of the cell vectors:
Ir1 0.5000 0.5000 0.7351
Re1 0.0000 0.0000 0.5078
Pt1 0.0000 0.0000 0.9956
Pt2 0.5000 0.5000 0.2615

=====

Calculated relative energies: (A) 511; (B) 171; (C) 500; (D) 0, given in meV per atom

=====

(A)
VASP calculation (PBE) on a geometry-optimized ReIrPt structure.

Output
total magnetic moment: 0.00 μB per formula unit
SG: P3m1, No. 156
density of states at the Fermi level: 2.6 states/eV/f.u.

a = 2.7594 Å, b = 2.7594 Å, c = 6.8285 Å
α = 90.00°, β = 90.00°, γ = 120.00°
Sites, in units of the cell vectors:
Re1 0.6667 0.3333 0.6740
Pt1 0.3333 0.6667 0.3386
Ir1 0.0000 0.0000 0.9874

=====

(B)
VASP calculation (PBE) on a geometry-optimized ReIrPt structure.

Output
total magnetic moment: 0.00 μB per formula unit
SG: Cmcm, No. 63
density of states at the Fermi level: 1.9 states/eV/f.u.

a = 3.9254 Å, b = 3.9026 Å, c = 6.2072 Å
α = 90.00°, β = 108.43°, γ = 90.00°
Sites, in units of the cell vectors:
Re1 0.4256 0.2500 0.8512
Pt1 0.2467 0.7500 0.4934
Ir1 0.9248 0.7500 0.8496
Pt2 0.7533 0.2500 0.5066
Re2 0.5744 0.7500 0.1488
Ir2 0.0752 0.2500 0.1504

=====

Calculated relative energies: (A) 43; (B) 0, given in meV per atom

=====

(A)
VASP calculation (PBE) on a geometry-optimized ReIrPt structure.

Output
total magnetic moment: 0.00 μB per formula unit
SG: I4mm, No. 107
density of states at the Fermi level: 4.8 states/eV/f.u.

a = 6.2412 Å, b = 6.2412 Å, c = 2.7580 Å
α = 77.24°, β = 77.24°, γ = 25.53°
Sites, in units of the cell vectors:
Pt1 0.3289 0.3289 0.6711
Re1 0.6618 0.6618 0.3382
Ir1 0.0093 0.0093 0.9907

=====

(B)
VASP calculation (PBE) on a geometry-optimized ReIrPt structure.

Output
total magnetic moment: 0.00 μB per formula unit
SG: P-6m2, No. 187
density of states at the Fermi level: 3.2 states/eV/f.u.

a = 4.4114 Å, b = 4.4114 Å, c = 2.6927 Å
α = 90.00°, β = 90.00°, γ = 120.00°
Sites, in units of the cell vectors:
Ir1 0.0000 0.0000 0.1667
Pt1 0.6667 0.3333 0.1668
Re1 0.3333 0.6667 0.6665

=====

(C)
VASP calculation (PBE) on a geometry-optimized ReIrPt structure.

Output
total magnetic moment: 0.00 μB per formula unit
SG: Imm2, No. 44
density of states at the Fermi level: 1.8 states/eV/f.u.

a = 4.7956 Å, b = 4.7956 Å, c = 4.7956 Å
α = 146.56°, β = 132.08°, γ = 59.70°
Sites, in units of the cell vectors:
Ir1 0.0078 0.0078 0.0000
Re1 0.6602 0.6602 0.0000
Pt1 0.3320 0.3320 0.0000

=====

(D)
VASP calculation (PBE) on a geometry-optimized ReIrPt structure.

Output
total magnetic moment: 0.00 μB per formula unit
SG: C2/m, No. 12
density of states at the Fermi level: 2.0 states/eV/f.u.

a = 4.1472 Å, b = 8.0538 Å, c = 6.6363 Å
α = 91.67°, β = 108.21°, γ = 90.00°
Sites, in units of the cell vectors:
Re1 0.4025 0.4516 0.8049
Ir1 0.7382 0.8143 0.4764
Ir2 0.2196 0.6008 0.4392
Re2 0.5975 0.5484 0.1951
Re3 0.6682 0.0991 0.3363
Pt1 0.9445 0.6474 0.8890
Pt2 0.4713 0.1552 0.9425
Pt3 0.0555 0.3526 0.1110
Ir3 0.2618 0.1857 0.5236
Pt4 0.5287 0.8448 0.0575
Re4 0.3318 0.9009 0.6637
Ir4 0.7804 0.3992 0.5608

=====

Calculated relative energies: (A) 39; (B) 257; (C) 0; (D) 403, given in meV per atom

=====

(A)
VASP calculation (PBE) on a geometry-optimized ReIrPt structure.

Output
total magnetic moment: 0.00 μB per formula unit
SG: P2_1/m, No. 11
density of states at the Fermi level: 2.1 states/eV/f.u.

a = 3.9062 Å, b = 3.8961 Å, c = 6.2233 Å
α = 90.00°, β = 72.00°, γ = 90.00°
Sites, in units of the cell vectors:
Pt1 0.9100 0.2500 0.6763
Ir1 0.4095 0.7500 0.6857
Ir2 0.5905 0.2500 0.3143
Re1 0.7699 0.7500 0.9973
Re2 0.2301 0.2500 0.0027
Pt2 0.0900 0.7500 0.3237

=====

(B)
VASP calculation (PBE) on a geometry-optimized ReIrPt structure.

Output
total magnetic moment: 0.00 μB per formula unit
SG: F-43m, No. 216
density of states at the Fermi level: 3.9 states/eV/f.u.

a = 4.2334 Å, b = 4.2334 Å, c = 4.2334 Å
α = 60.00°, β = 60.00°, γ = 60.00°
Sites, in units of the cell vectors:
Pt1 0.5000 0.5000 0.5000
Re1 0.7500 0.7500 0.7500
Ir1 0.0000 0.0000 0.0000

=====

Calculated relative energies: (A) 0; (B) 607, given in meV per atom

=====

(A)
VASP calculation (PBE) on a geometry-optimized Re2Ir2Pt structure.

Output
total magnetic moment: 0.00 μB per formula unit
SG: Immm, No. 71
density of states at the Fermi level: 3.5 states/eV/f.u.

a = 4.4251 Å, b = 5.4984 Å, c = 6.7548 Å
α = 101.73°, β = 109.12°, γ = 90.00°
Sites, in units of the cell vectors:
Ir1 0.6032 0.5516 0.2064
Pt1 0.0000 0.2500 0.0000
Re1 0.2106 0.1054 0.4213
Re2 0.2106 0.6054 0.4213
Ir2 0.6032 0.0516 0.2064
Re3 0.7894 0.8946 0.5787
Ir3 0.3968 0.9484 0.7936
Re4 0.7894 0.3946 0.5787
Ir4 0.3968 0.4484 0.7936
Pt2 0.0000 0.7500 0.0000

=====

(B)
VASP calculation (PBE) on a geometry-optimized Re2Ir2Pt structure.

Output
total magnetic moment: 0.00 μB per formula unit
SG: P4/mbm, No. 127
density of states at the Fermi level: 3.1 states/eV/f.u.

a = 7.5777 Å, b = 7.5777 Å, c = 2.7285 Å
α = 90.00°, β = 90.00°, γ = 90.00°
Sites, in units of the cell vectors:
Pt1 0.0000 0.0000 0.0000
Ir1 0.8756 0.6244 0.0000
Re1 0.6704 0.8296 0.5000
Re2 0.3296 0.1704 0.5000
Ir2 0.6244 0.1244 0.0000
Pt2 0.5000 0.5000 0.0000
Re3 0.8296 0.3296 0.5000
Re4 0.1704 0.6704 0.5000
Ir3 0.3756 0.8756 0.0000
Ir4 0.1244 0.3756 0.0000

=====

Calculated relative energies: (A) 0; (B) 63, given in meV per atom